1.
A plane-wave DFT calculation with PBE was carried out for a geometry-optimized Dy2TmTl3AgPt2 structure.

The structure in POSCAR format:
```
Dy2TmTl3AgPt2
1.0
3.750 0.000 0.000
0.000 6.846 3.966
0.000 -6.846 3.966
Dy Tm Tl Ag Pt
2 1 3 1 2
direct
0.000 0.205 0.795 Dy
0.000 0.795 0.205 Dy
0.000 0.616 0.616 Tm
0.500 0.205 0.476 Tl
0.500 0.476 0.205 Tl
0.500 0.934 0.934 Tl
0.000 0.206 0.206 Ag
0.500 0.539 0.870 Pt
0.500 0.870 0.539 Pt
```

Summary:
The space group is No. 38. The value obtained for the total energy is -41.60 eV per formula unit. As for the crystal system: orthorhombic.

2.
A plane-wave DFT calculation with PBE was carried out for a geometry-optimized DyTm2Tl3AgPt2 structure.

The structure in POSCAR format:
```
DyTm2Tl3AgPt2
1.0
3.732 0.000 0.000
0.000 6.858 3.946
0.000 -6.858 3.946
Dy Tm Tl Ag Pt
1 2 3 1 2
direct
0.000 0.000 0.000 Dy
0.000 0.410 0.820 Tm
0.000 0.820 0.410 Tm
0.500 0.138 0.410 Tl
0.500 0.410 0.138 Tl
0.500 0.681 0.681 Tl
0.000 0.410 0.410 Ag
0.500 0.077 0.741 Pt
0.500 0.741 0.077 Pt
```

Summary:
The space group is No. 38. The value obtained for the total energy is -41.41 eV per formula unit. As for the crystal system: orthorhombic.

3.
A plane-wave DFT calculation with PBE was carried out for a geometry-optimized Dy2YTl3AgPt2 structure.

The structure in POSCAR format:
```
Dy2YTl3AgPt2
1.0
3.769 0.000 0.000
0.000 6.878 3.962
0.000 -6.878 3.962
Dy Y Tl Ag Pt
2 1 3 1 2
direct
0.000 0.205 0.795 Dy
0.000 0.795 0.205 Dy
0.000 0.385 0.385 Y
0.500 0.065 0.065 Tl
0.500 0.524 0.795 Tl
0.500 0.795 0.524 Tl
0.000 0.795 0.795 Ag
0.500 0.127 0.462 Pt
0.500 0.462 0.127 Pt
```

Summary:
The space group is No. 38. The value obtained for the total energy is -43.66 eV per formula unit. As for the crystal system: orthorhombic.

4.
A plane-wave DFT calculation with PBE was carried out for a geometry-optimized RbDyAgSe3 structure.

The structure in POSCAR format:
```
RbDyAgSe3
1.0
2.062 -7.815 0.000
2.062 7.815 0.000
0.000 0.000 10.779
Rb Dy Ag Se
2 2 2 6
direct
0.249 0.751 0.750 Rb
0.751 0.249 0.250 Rb
0.000 0.000 0.000 Dy
0.000 0.000 0.500 Dy
0.464 0.536 0.250 Ag
0.536 0.464 0.750 Ag
0.071 0.929 0.250 Se
0.375 0.625 0.046 Se
0.375 0.625 0.454 Se
0.625 0.375 0.546 Se
0.625 0.375 0.954 Se
0.929 0.071 0.750 Se
```

Summary:
The space group is No. 63. The value obtained for the total energy is -25.58 eV per formula unit. As for the crystal system: orthorhombic.

5.
A plane-wave DFT calculation with PBE was carried out for a geometry-optimized RbDyAgSe3 structure.

The structure in POSCAR format:
```
RbDyAgSe3
1.0
15.474 0.000 0.000
0.000 4.153 0.000
0.000 0.000 11.035
Rb Dy Ag Se
4 4 4 12
direct
0.235 0.250 0.039 Rb
0.265 0.750 0.539 Rb
0.735 0.250 0.461 Rb
0.765 0.750 0.961 Rb
0.025 0.250 0.343 Dy
0.475 0.750 0.843 Dy
0.525 0.250 0.157 Dy
0.975 0.750 0.657 Dy
0.018 0.750 0.096 Ag
0.482 0.250 0.596 Ag
0.518 0.750 0.404 Ag
0.982 0.250 0.904 Ag
0.087 0.750 0.870 Se
0.092 0.250 0.582 Se
0.140 0.750 0.264 Se
0.360 0.250 0.764 Se
0.408 0.750 0.082 Se
0.413 0.250 0.370 Se
0.587 0.750 0.630 Se
0.592 0.250 0.918 Se
0.640 0.750 0.236 Se
0.860 0.250 0.736 Se
0.908 0.750 0.418 Se
0.913 0.250 0.130 Se
```

Summary:
The space group is No. 62. The value obtained for the total energy is -25.59 eV per formula unit. As for the crystal system: orthorhombic.

6.
A plane-wave DFT calculation with PBE was carried out for a geometry-optimized DyAgS2 structure.

The structure in POSCAR format:
```
DyAgS2
1.0
7.649 0.000 0.000
0.000 7.647 0.000
-0.006 0.000 12.561
Dy Ag S
8 8 16
direct
0.000 0.000 0.247 Dy
0.000 0.500 0.753 Dy
0.248 0.750 0.503 Dy
0.252 0.253 0.003 Dy
0.499 0.003 0.747 Dy
0.501 0.503 0.253 Dy
0.748 0.753 0.997 Dy
0.752 0.250 0.497 Dy
0.005 0.487 0.315 Ag
0.229 0.739 0.065 Ag
0.268 0.260 0.565 Ag
0.497 0.513 0.816 Ag
0.503 0.013 0.184 Ag
0.732 0.760 0.435 Ag
0.771 0.239 0.935 Ag
0.995 0.987 0.685 Ag
0.020 0.982 0.027 S
0.025 0.474 0.534 S
0.223 0.725 0.284 S
0.230 0.770 0.722 S
0.270 0.232 0.223 S
0.276 0.277 0.784 S
0.475 0.528 0.034 S
0.480 0.020 0.527 S
0.520 0.520 0.473 S
0.525 0.028 0.966 S
0.724 0.777 0.216 S
0.730 0.732 0.777 S
0.770 0.270 0.278 S
0.777 0.225 0.716 S
0.975 0.974 0.466 S
0.980 0.482 0.973 S
```

Summary:
The space group is No. 4. The value obtained for the total energy is -21.01 eV per formula unit. As for the crystal system: monoclinic.

7.
A plane-wave DFT calculation with PBE was carried out for a geometry-optimized DyAgS2 structure.

The structure in POSCAR format:
```
DyAgS2
1.0
4.105 0.000 0.000
0.000 6.589 0.000
0.000 0.000 13.239
Dy Ag S
4 4 8
direct
0.239 0.206 0.370 Dy
0.261 0.794 0.870 Dy
0.739 0.294 0.630 Dy
0.761 0.706 0.130 Dy
0.003 0.204 0.120 Ag
0.497 0.796 0.620 Ag
0.503 0.296 0.880 Ag
0.997 0.704 0.380 Ag
0.240 0.093 0.727 S
0.243 0.483 0.527 S
0.257 0.517 0.027 S
0.260 0.907 0.227 S
0.740 0.407 0.273 S
0.743 0.017 0.473 S
0.757 0.983 0.973 S
0.760 0.593 0.773 S
```

Summary:
The space group is No. 19. The value obtained for the total energy is -21.00 eV per formula unit. As for the crystal system: orthorhombic.

8.
A plane-wave DFT calculation with PBE was carried out for a geometry-optimized DyAgS2 structure.

The structure in POSCAR format:
```
DyAgS2
1.0
4.058 0.000 0.000
-2.029 3.514 0.000
0.000 0.000 6.593
Dy Ag S
1 1 2
direct
0.000 0.000 0.000 Dy
0.333 0.667 0.584 Ag
0.333 0.667 0.207 S
0.667 0.333 0.766 S
```

Summary:
The space group is No. 156. The value obtained for the total energy is -21.03 eV per formula unit. As for the crystal system: trigonal.